[1]
## LiNdAlZn (PBE)

Data for an optimized crystal structure of LiNdAlZn.

Computed properties:
Energy   -12.899 eV/cell
SG   F-43m, No. 216
Mass density   5.18 g cm⁻³
Crystal system   cubic

Cell lengths 4.7981, 4.7981, 4.7981 Å; angles 60.00, 60.00, 60.00 degrees
With the nearest neighbours (Å) after each atom.
Fractional positions:
Zn 0.0000 0.0000 0.0000  4 Al 2.94, 4 Nd 2.94
Nd 0.7500 0.7500 0.7500  4 Li 2.94, 4 Zn 2.94
Al 0.2500 0.2500 0.2500  4 Zn 2.94, 4 Li 2.94
Li 0.5000 0.5000 0.5000  4 Al 2.94, 4 Nd 2.94

***

[2]
## Na2AgCl3 (PBE)

Data for an optimized crystal structure of Na2AgCl3.

Computed properties:
SG   Immm, No. 71
Uncorrected formation energy   -30.97 kcal/mol of atoms
Mass density   3.18 g cm⁻³
Crystal system   orthorhombic

Cell lengths 4.0267, 5.6457, 6.9050 Å; angles 114.13, 106.95, 90.00 degrees
With the nearest neighbours (Å) after each atom.
Fractional positions:
Na 0.8347 0.8347 0.1693  6 Cl 2.82-2.85
Na 0.1653 0.1653 0.8307  6 Cl 2.82-2.85
Ag 0.5000 0.5000 0.5000  6 Cl 2.82
Cl 0.8346 0.3346 0.1691  2 Ag 2.82, 4 Na 2.82-2.85
Cl 0.1654 0.6654 0.8309  2 Ag 2.82, 4 Na 2.82-2.85
Cl 0.5000 0.0000 0.5000  4 Na 2.82, 2 Ag 2.82

***

| no. | DOS(E_F) (states/eV per cell) |
| --- | --- |
| 1 | 1.23 |
| 2 | 0.00 |